1.
Pm4Te3Ir | PBE | relaxed

## Properties
ΔE_f (raw) (eV/f.u.): -9.9
Uncorrected energy (eV/atom): -5.8934

a b c (Å): 4.308 7.754 7.754
angles (deg): 108.31 90.00 90.00
Fractional coordinates of all 8 atoms:
Pm 0.500 0.231 0.769
Pm 0.000 0.212 0.212
Pm 0.500 0.769 0.231
Pm 0.000 0.788 0.788
Te 0.000 0.000 0.500
Te 0.500 0.500 0.500
Te 0.000 0.500 0.000
Ir 0.500 0.000 0.000

***

2.
ZrSc3Sn2 | PBE | relaxed

## Properties
ΔE_f (eV per atom): -0.5466
Uncorrected energy (eV/atom): -6.4714

a b c (Å): 4.258 4.258 7.872
angles (deg): 90.00 90.00 90.00
Each line ends with the local moment (μB).
Fractional coordinates of all 6 atoms:
Sc 0.500 0.000 0.336  -0.01
Sc 0.000 0.000 0.000  0.16
Sc 0.000 0.500 0.664  -0.01
Sn 0.500 0.000 0.718  0.00
Sn 0.000 0.500 0.282  0.00
Zr 0.500 0.500 0.000  0.22

***

3.
Pu3PbN2 | PBE | relaxed

## Properties
ΔE_f (raw) (eV/f.u.): -4.9
Uncorrected energy (eV/atom): -11.3709

a b c (Å): 5.585 6.873 6.873
angles (deg): 98.62 90.00 90.00
Each line ends with the local moment (μB).
Fractional coordinates of all 12 atoms:
N 0.000 0.159 0.159  -0.23
N 0.500 0.841 0.841  -0.23
N 0.500 0.159 0.159  -0.23
N 0.000 0.841 0.841  -0.23
Pu 0.750 0.817 0.596  4.85
Pu 0.250 0.106 0.894  4.71
Pu 0.750 0.894 0.106  4.71
Pu 0.250 0.596 0.817  4.85
Pu 0.750 0.404 0.183  4.85
Pu 0.250 0.183 0.404  4.85
Pb 0.250 0.677 0.323  -0.21
Pb 0.750 0.323 0.677  -0.21

***

4.
Ca2SiAsRh6 | PBE | relaxed

## Properties
ΔE_f (raw) (eV/f.u.): -3.3
Uncorrected energy (eV/atom): -6.1531

a b c (Å): 6.431 6.431 6.435
angles (deg): 59.99 59.99 90.00
Fractional coordinates of all 10 atoms:
Rh 0.754 0.754 0.492
Rh 0.246 0.754 0.000
Rh 0.754 0.754 0.000
Rh 0.246 0.246 0.508
Rh 0.754 0.246 0.000
Rh 0.246 0.246 0.000
Ca 0.750 0.250 0.500
Ca 0.250 0.750 0.500
As 0.500 0.500 0.000
Si 0.000 0.000 0.000